No. 1
First-principles (PBEsol) data for a relaxed structure of B3RuSe, as listed in Alexandria.

Output
Formation energy from raw total energies = 2.27 eV/atom
D(E_F) = 0.81 states/eV/atom

Cell: 3.970 3.970 3.970 Å, 90.00 90.00 90.00°
Space group Pm-3m (No. 221)
Unique sites:
B1 0.000 0.000 0.500 x3
Ru1 0.500 0.500 0.500 x1
Se1 0.000 0.000 0.000 x1

***

No. 2
First-principles (PBEsol) data for a relaxed structure of YCrRu2, as listed in Alexandria.

Output
DFT formation energy = 0.79 eV/f.u.
D(E_F) = 1.53 states/eV/atom
Relative energy among the computed polymorphs = 0.0 meV per atom

Cell: 6.294 6.294 6.294 Å, 90.00 90.00 90.00°
Space group Fm-3m (No. 225)
Unique sites:
Y1 0.000 0.000 0.000 x4
Cr1 0.000 0.000 0.500 x4
Ru1 0.250 0.250 0.250 x8

***

No. 3
First-principles (PBEsol) data for a relaxed structure of NaNbAl2B, as listed in Alexandria.

Output
DFT formation energy = 9.19 eV/f.u.
D(E_F) = 0.81 states/eV/atom

Cell: 4.589 4.589 4.095 Å, 90.00 90.00 90.00°
Space group P4/mmm (No. 123)
Unique sites:
Na1 0.000 0.000 0.000 x1
Nb1 0.500 0.500 0.500 x1
Al1 0.000 0.500 0.000 x2
B1 0.000 0.000 0.500 x1

***

What is the formula in the second record?
YCrRu2